VASP calculation (GGA-PBE) on a relaxed structure of ZrTl5.

abc: 3.313 3.313 15.407
angles: 90.00 90.00 90.00
Positions (direct):
Zr: 0.000 0.000 0.000
Tl: 0.000 0.000 0.309
Tl: 0.000 0.000 0.691
Tl: 0.500 0.500 0.141
Tl: 0.500 0.500 0.500
Tl: 0.500 0.500 0.859

Crystal system = tetragonal
Total magnetic moment = 0.000 μB/atom
E = -3.334 eV per atom
ΔH_f (0 K) = 0.06 eV/atom
Excess energy over the best structure of this formula in the dataset = 0 meV per atom
Volume = 28.190 Å³/atom